Record 1
# CrAs3N (PBE-GGA, relaxed)
data_CrAs3N
_space_group_name_H-M_alt 'P 1'
_space_group_IT_number 1
_cell_length_a 4.5609
_cell_length_b 4.5609
_cell_length_c 4.5609
_cell_angle_alpha 90.00
_cell_angle_beta 90.00
_cell_angle_gamma 90.00
loop_
_space_group_symop_operation_xyz
'x,y,z'
loop_
_atom_site_label
_atom_site_fract_x
_atom_site_fract_y
_atom_site_fract_z
Cr1 0.0000 0.0000 0.0000
As1 0.0000 0.0000 0.5000
As2 0.0000 0.5000 0.0000
As3 0.5000 0.0000 0.0000
N1 0.5000 0.5000 0.5000
# Total DFT energy (no corrections) = -25.7 eV/cell
# Crystal system = cubic
# Total moment = 0.60 μB per formula unit
# Fermi-level density of states = 4.836 states/eV/cell


Record 2
# Cr2AsN (PBE-GGA, relaxed)
data_Cr2AsN
_space_group_name_H-M_alt 'P 1'
_space_group_IT_number 1
_cell_length_a 6.1117
_cell_length_b 6.1117
_cell_length_c 6.1117
_cell_angle_alpha 28.19
_cell_angle_beta 28.19
_cell_angle_gamma 28.19
loop_
_space_group_symop_operation_xyz
'x,y,z'
loop_
_atom_site_label
_atom_site_fract_x
_atom_site_fract_y
_atom_site_fract_z
Cr1 0.2215 0.2215 0.2215
Cr2 0.7785 0.7785 0.7785
As1 0.0000 0.0000 0.0000
N1 0.5000 0.5000 0.5000
# Offset from the most stable computed form = 0.0 kJ/mol of formula units
# Total DFT energy (no corrections) = -33.3 eV/cell
# Crystal system = trigonal
# Total moment = 0.34 μB per formula unit
# Fermi-level density of states = 3.743 states/eV/cell


Record 3
# CrAsN3 (PBE-GGA, relaxed)
data_CrAsN3
_space_group_name_H-M_alt 'P 1'
_space_group_IT_number 1
_cell_length_a 3.7122
_cell_length_b 3.7122
_cell_length_c 3.7122
_cell_angle_alpha 90.00
_cell_angle_beta 90.00
_cell_angle_gamma 90.00
loop_
_space_group_symop_operation_xyz
'x,y,z'
loop_
_atom_site_label
_atom_site_fract_x
_atom_site_fract_y
_atom_site_fract_z
Cr1 0.0000 0.0000 0.0000
As1 0.5000 0.5000 0.5000
N1 0.0000 0.5000 0.5000
N2 0.5000 0.0000 0.5000
N3 0.5000 0.5000 0.0000
# Total DFT energy (no corrections) = -32.6 eV/cell
# Crystal system = cubic
# Total moment = 2.09 μB per formula unit
# Fermi-level density of states = 1.198 states/eV/cell


Record 4
# Cr2AsN (PBE-GGA, relaxed)
data_Cr2AsN
_space_group_name_H-M_alt 'P 1'
_space_group_IT_number 1
_cell_length_a 5.9089
_cell_length_b 5.9089
_cell_length_c 5.9089
_cell_angle_alpha 129.71
_cell_angle_beta 129.71
_cell_angle_gamma 73.87
loop_
_space_group_symop_operation_xyz
'x,y,z'
loop_
_atom_site_label
_atom_site_fract_x
_atom_site_fract_y
_atom_site_fract_z
Cr1 0.0349 0.6250 0.9099
Cr2 0.3750 0.2849 0.4099
Cr3 0.7151 0.1250 0.0901
Cr4 0.8750 0.9651 0.5901
As1 0.2500 0.7500 0.5000
As2 0.5000 0.5000 0.0000
N1 0.0000 0.0000 0.0000
N2 0.7500 0.2500 0.5000
# Offset from the most stable computed form = 47.9 kJ/mol of formula units
# Total DFT energy (no corrections) = -65.5 eV/cell
# Crystal system = tetragonal
# Total moment = 4.53 μB per formula unit
# Fermi-level density of states = 4.830 states/eV/cell


Record 5
# CrAsN2 (PBE-GGA, relaxed)
data_CrAsN2
_space_group_name_H-M_alt 'P 1'
_space_group_IT_number 1
_cell_length_a 6.4927
_cell_length_b 6.4927
_cell_length_c 6.4927
_cell_angle_alpha 24.95
_cell_angle_beta 24.95
_cell_angle_gamma 24.95
loop_
_space_group_symop_operation_xyz
'x,y,z'
loop_
_atom_site_label
_atom_site_fract_x
_atom_site_fract_y
_atom_site_fract_z
Cr1 0.0000 0.0000 0.0000
As1 0.5000 0.5000 0.5000
N1 0.3924 0.3924 0.3924
N2 0.6076 0.6076 0.6076
# Total DFT energy (no corrections) = -30.5 eV/cell
# Crystal system = trigonal
# Total moment = 0.00 μB per formula unit
# Fermi-level density of states = 1.714 states/eV/cell


Record 6
# Cr2AsN (PBE-GGA, relaxed)
data_Cr2AsN
_space_group_name_H-M_alt 'P 1'
_space_group_IT_number 1
_cell_length_a 6.0290
_cell_length_b 6.0290
_cell_length_c 6.0290
_cell_angle_alpha 29.29
_cell_angle_beta 29.29
_cell_angle_gamma 29.29
loop_
_space_group_symop_operation_xyz
'x,y,z'
loop_
_atom_site_label
_atom_site_fract_x
_atom_site_fract_y
_atom_site_fract_z
Cr1 0.0000 0.0000 0.0000
Cr2 0.2219 0.2219 0.2219
As1 0.4428 0.4428 0.4428
N1 0.6123 0.6123 0.6123
# Offset from the most stable computed form = 18.4 kJ/mol of formula units
# Total DFT energy (no corrections) = -33.1 eV/cell
# Crystal system = trigonal
# Total moment = 0.03 μB per formula unit
# Fermi-level density of states = 2.272 states/eV/cell


Record 7
# CrAsN3 (PBE-GGA, relaxed)
data_CrAsN3
_space_group_name_H-M_alt 'P 1'
_space_group_IT_number 1
_cell_length_a 3.7332
_cell_length_b 3.7332
_cell_length_c 3.7332
_cell_angle_alpha 90.00
_cell_angle_beta 90.00
_cell_angle_gamma 90.00
loop_
_space_group_symop_operation_xyz
'x,y,z'
loop_
_atom_site_label
_atom_site_fract_x
_atom_site_fract_y
_atom_site_fract_z
Cr1 0.0000 0.0000 0.0000
As1 0.5000 0.5000 0.5000
N1 0.0000 0.0000 0.5000
N2 0.0000 0.5000 0.0000
N3 0.5000 0.0000 0.0000
# Total DFT energy (no corrections) = -34.1 eV/cell
# Crystal system = cubic
# Total moment = 0.00 μB per formula unit
# Fermi-level density of states = 4.223 states/eV/cell


Record 8
# CrAsN2 (PBE-GGA, relaxed)
data_CrAsN2
_space_group_name_H-M_alt 'P 1'
_space_group_IT_number 1
_cell_length_a 5.5214
_cell_length_b 5.5214
_cell_length_c 5.5214
_cell_angle_alpha 127.71
_cell_angle_beta 127.71
_cell_angle_gamma 77.09
loop_
_space_group_symop_operation_xyz
'x,y,z'
loop_
_atom_site_label
_atom_site_fract_x
_atom_site_fract_y
_atom_site_fract_z
Cr1 0.0000 0.0000 0.0000
Cr2 0.7500 0.2500 0.5000
As1 0.2500 0.7500 0.5000
As2 0.5000 0.5000 0.0000
N1 0.0608 0.6250 0.9358
N2 0.3750 0.3108 0.4358
N3 0.6892 0.1250 0.0642
N4 0.8750 0.9392 0.5642
# Total DFT energy (no corrections) = -59.1 eV/cell
# Crystal system = tetragonal
# Total moment = 1.46 μB per formula unit
# Fermi-level density of states = 3.729 states/eV/cell


Record 9
# Cr2AsN (PBE-GGA, relaxed)
data_Cr2AsN
_space_group_name_H-M_alt 'P 1'
_space_group_IT_number 1
_cell_length_a 4.0020
_cell_length_b 4.0020
_cell_length_c 4.0020
_cell_angle_alpha 60.00
_cell_angle_beta 60.00
_cell_angle_gamma 60.00
loop_
_space_group_symop_operation_xyz
'x,y,z'
loop_
_atom_site_label
_atom_site_fract_x
_atom_site_fract_y
_atom_site_fract_z
Cr1 0.2500 0.2500 0.2500
Cr2 0.7500 0.7500 0.7500
As1 0.0000 0.0000 0.0000
N1 0.5000 0.5000 0.5000
# Offset from the most stable computed form = 320.8 kJ/mol of formula units
# Total DFT energy (no corrections) = -29.9 eV/cell
# Crystal system = cubic
# Total moment = 2.46 μB per formula unit
# Fermi-level density of states = 2.938 states/eV/cell


Record 10
# CrAsN2 (PBE-GGA, relaxed)
data_CrAsN2
_space_group_name_H-M_alt 'P 1'
_space_group_IT_number 1
_cell_length_a 6.2247
_cell_length_b 6.2247
_cell_length_c 6.2247
_cell_angle_alpha 27.04
_cell_angle_beta 27.04
_cell_angle_gamma 27.04
loop_
_space_group_symop_operation_xyz
'x,y,z'
loop_
_atom_site_label
_atom_site_fract_x
_atom_site_fract_y
_atom_site_fract_z
Cr1 0.0000 0.0000 0.0000
As1 0.5000 0.5000 0.5000
N1 0.1052 0.1052 0.1052
N2 0.8948 0.8948 0.8948
# Total DFT energy (no corrections) = -28.3 eV/cell
# Crystal system = trigonal
# Total moment = 0.00 μB per formula unit
# Fermi-level density of states = 3.509 states/eV/cell


Record 11
# Na2Cr2As2N (PBE-GGA, relaxed)
data_Na2Cr2As2N
_space_group_name_H-M_alt 'P 1'
_space_group_IT_number 1
_cell_length_a 8.0958
_cell_length_b 8.0958
_cell_length_c 8.0958
_cell_angle_alpha 152.18
_cell_angle_beta 152.18
_cell_angle_gamma 39.75
loop_
_space_group_symop_operation_xyz
'x,y,z'
loop_
_atom_site_label
_atom_site_fract_x
_atom_site_fract_y
_atom_site_fract_z
Na1 0.1782 0.1782 0.0000
Na2 0.8218 0.8218 0.0000
Cr1 0.0000 0.5000 0.5000
Cr2 0.5000 0.0000 0.5000
As1 0.3870 0.3870 0.0000
As2 0.6130 0.6130 0.0000
N1 0.0000 0.0000 0.0000
# Total DFT energy (no corrections) = -42.2 eV/cell
# Crystal system = tetragonal
# Total moment = 2.64 μB per formula unit
# Fermi-level density of states = 3.961 states/eV/cell


Record 12
# Cr2NiAsN (PBE-GGA, relaxed)
data_Cr2NiAsN
_space_group_name_H-M_alt 'P 1'
_space_group_IT_number 1
_cell_length_a 3.9063
_cell_length_b 3.9063
_cell_length_c 3.8110
_cell_angle_alpha 90.00
_cell_angle_beta 90.00
_cell_angle_gamma 90.00
loop_
_space_group_symop_operation_xyz
'x,y,z'
loop_
_atom_site_label
_atom_site_fract_x
_atom_site_fract_y
_atom_site_fract_z
Cr1 0.0000 0.5000 0.0000
Cr2 0.5000 0.0000 0.0000
Ni1 0.0000 0.0000 0.5000
As1 0.5000 0.5000 0.5000
N1 0.0000 0.0000 0.0000
# Total DFT energy (no corrections) = -38.5 eV/cell
# Crystal system = tetragonal
# Total moment = 3.46 μB per formula unit
# Fermi-level density of states = 5.226 states/eV/cell


no.,formation energy without anion corrections (eV/atom)
1,1.24
2,-0.26
3,1.33
4,-0.14
5,0.11
6,-0.21
7,1.03
8,0.34
9,0.57
10,0.66
11,-0.39
12,-0.11